This record from Alexandria describes a geometry-optimized Tb4Pm4Pr structure. The functional is PBE.

## Properties
Its total energy is -4.69 eV/atom. The calculation puts the energy relative to the elements at 15 meV/atom.

a = 5.1057 Å, b = 8.0912 Å, c = 8.0912 Å
α = 84.29°, β = 71.61°, γ = 71.61°
Last column: nearest neighbours and their distance in Å.
Sites, in units of the cell vectors:
Tb 0.6670 0.6658 0.0001  4 Tb 3.61-3.63, 6 Pm 3.61-3.62, 2 Pr 3.62
Tb 0.3330 0.3342 0.9999  4 Tb 3.61-3.63, 6 Pm 3.61-3.62, 2 Pr 3.62
Tb 0.6671 0.9999 0.6658  4 Tb 3.61-3.63, 6 Pm 3.61-3.62, 2 Pr 3.62
Tb 0.3329 0.0001 0.3342  4 Tb 3.61-3.63, 6 Pm 3.61-3.62, 2 Pr 3.62
Pm 0.6675 0.3325 0.3326  6 Tb 3.61-3.62, 1 Pr 3.61, 5 Pm 3.62-3.64
Pm 0.3325 0.6675 0.6674  6 Tb 3.61-3.62, 1 Pr 3.61, 5 Pm 3.62-3.64
Pm 0.0001 0.6674 0.3325  6 Tb 3.61-3.62, 1 Pr 3.61, 5 Pm 3.62-3.64
Pm 0.9999 0.3326 0.6675  6 Tb 3.61-3.62, 1 Pr 3.61, 5 Pm 3.62-3.64
Pr 0.0000 0.0000 0.0000  4 Pm 3.61, 8 Tb 3.62

=====

This record from Alexandria describes a geometry-optimized TbPm6Pr4 structure. The functional is PBE.

## Properties
Its total energy is -4.37 eV/atom. The calculation puts the energy relative to the elements at 377 meV/atom.

a = 7.6628 Å, b = 7.6628 Å, c = 8.7414 Å
α = 116.00°, β = 116.00°, γ = 90.00°
Last column: nearest neighbours and their distance in Å.
Sites, in units of the cell vectors:
Tb 0.5000 0.5000 0.0000  8 Pm 3.53-3.83, 4 Pr 3.70
Pm 0.9105 0.4620 0.3725  1 Pr 3.23, 1 Tb 3.53
Pm 0.4620 0.9105 0.3725  1 Pr 3.23, 1 Tb 3.53
Pm 0.5380 0.5380 0.6275  1 Pr 3.23, 1 Tb 3.53
Pm 0.0000 0.5000 0.0000  4 Pr 3.04
Pm 0.0895 0.0895 0.6275  1 Pr 3.23, 1 Tb 3.53
Pm 0.5000 0.0000 0.0000  4 Pr 3.04
Pr 0.0928 0.7444 0.8372  3 Pm 3.04-3.23
Pr 0.9072 0.9072 0.1628  3 Pm 3.04-3.23
Pr 0.7444 0.0928 0.8372  3 Pm 3.04-3.23
Pr 0.2556 0.2556 0.1628  3 Pm 3.04-3.23

=====

This record from Alexandria describes a geometry-optimized TbPm5Pr4 structure. The functional is PBE.

## Properties
Its total energy is -4.58 eV/atom. The calculation puts the energy relative to the elements at 171 meV/atom.

a = 5.8885 Å, b = 10.8820 Å, c = 10.8788 Å
α = 90.00°, β = 90.00°, γ = 90.00°
Last column: nearest neighbours and their distance in Å.
Sites, in units of the cell vectors:
Tb 0.6347 0.0000 0.0000  4 Pr 3.20
Tb 0.3653 0.5000 0.5000  4 Pr 3.20
Pm 0.1649 0.8383 0.8383  3 Pm 3.34-3.52, 2 Pr 3.57, 1 Tb 3.72
Pm 0.1649 0.1617 0.8383  3 Pm 3.34-3.52, 2 Pr 3.57, 1 Tb 3.72
Pm 0.0001 0.5000 0.0000  4 Pr 3.11
Pm 0.1649 0.8383 0.1617  3 Pm 3.34-3.52, 2 Pr 3.57, 1 Tb 3.72
Pm 0.1649 0.1617 0.1617  3 Pm 3.34-3.52, 2 Pr 3.57, 1 Tb 3.72
Pm 0.8351 0.6617 0.3383  3 Pm 3.34-3.52, 2 Pr 3.57, 1 Tb 3.72
Pm 0.8351 0.3383 0.3383  3 Pm 3.34-3.52, 2 Pr 3.57, 1 Tb 3.72
Pm 0.9999 0.0000 0.5000  4 Pr 3.11
Pm 0.8351 0.3383 0.6617  3 Pm 3.34-3.52, 2 Pr 3.57, 1 Tb 3.72
Pm 0.8351 0.6617 0.6617  3 Pm 3.34-3.52, 2 Pr 3.57, 1 Tb 3.72
Pr 0.6324 0.0000 0.7057  1 Pm 3.11, 1 Tb 3.20
Pr 0.6324 0.7057 0.0000  1 Pm 3.11, 1 Tb 3.20
Pr 0.6324 0.2943 0.0000  1 Pm 3.11, 1 Tb 3.20
Pr 0.6324 0.0000 0.2943  1 Pm 3.11, 1 Tb 3.20
Pr 0.3676 0.5000 0.2057  1 Pm 3.11, 1 Tb 3.20
Pr 0.3676 0.7943 0.5000  1 Pm 3.11, 1 Tb 3.20
Pr 0.3676 0.2057 0.5000  1 Pm 3.11, 1 Tb 3.20
Pr 0.3676 0.5000 0.7943  1 Pm 3.11, 1 Tb 3.20

=====

This record from Alexandria describes a geometry-optimized Tb5Pm4Pr3 structure. The functional is PBE.

## Properties
Its total energy is -4.49 eV/atom. The calculation puts the energy relative to the elements at 214 meV/atom.

a = 6.0275 Å, b = 8.6623 Å, c = 9.8265 Å
α = 105.89°, β = 72.14°, γ = 69.64°
Last column: nearest neighbours and their distance in Å.
Sites, in units of the cell vectors:
Tb 0.6247 0.9475 0.8031  2 Pr 3.31-3.53, 2 Tb 3.41-3.69, 2 Pm 3.69
Tb 0.5000 0.5000 0.5000  4 Pr 3.01-3.13
Tb 0.2163 0.4557 0.1116  4 Pr 3.25-3.53, 3 Pm 3.48-3.57
Tb 0.7837 0.5443 0.8884  4 Pr 3.25-3.53, 3 Pm 3.48-3.57
Tb 0.3753 0.0525 0.1969  2 Pr 3.31-3.53, 2 Tb 3.41-3.69, 2 Pm 3.69
Pm 0.8606 0.2227 0.0561  2 Pm 3.31-3.69, 1 Pr 3.44, 3 Tb 3.48-3.57
Pm 0.1695 0.0398 0.6211  3 Pr 3.31-3.62, 3 Pm 3.66-3.69, 2 Tb 3.69
Pm 0.8305 0.9602 0.3789  3 Pr 3.31-3.62, 3 Pm 3.66-3.69, 2 Tb 3.69
Pm 0.1394 0.7773 0.9439  2 Pm 3.31-3.69, 1 Pr 3.44, 3 Tb 3.48-3.57
Pr 0.5212 0.6879 0.2697  3 Tb 3.13-3.31, 2 Pm 3.31-3.44
Pr 0.0000 0.5000 0.5000  2 Tb 3.01
Pr 0.4788 0.3121 0.7303  3 Tb 3.13-3.31, 2 Pm 3.31-3.44

=====

This record from Alexandria describes a geometry-optimized Tb3PmPr3Te8 structure. The functional is PBE.

## Properties
Its total energy is -5.31 eV/atom. The formation energy (no corrections) is -21.49 eV/f.u.

a = 8.8536 Å, b = 8.8532 Å, c = 8.8913 Å
α = 119.86°, β = 90.00°, γ = 120.00°
Last column: nearest neighbours and their distance in Å.
Sites, in units of the cell vectors:
Tb 0.5000 0.0000 0.5000  6 Te 3.09
Tb 0.5000 0.5000 0.5000  6 Te 3.09
Tb 0.0000 0.5000 0.5000  6 Te 3.09
Pm 0.0000 0.0000 0.5000  6 Te 3.22
Pr 0.0000 0.0000 0.0000  6 Te 3.19
Pr 0.0000 0.5000 0.0000  6 Te 3.19
Pr 0.5000 0.5000 0.0000  6 Te 3.19
Te 0.2541 0.5081 0.2622  3 Tb 3.09, 3 Pr 3.19
Te 0.7459 0.4919 0.7378  3 Tb 3.09, 3 Pr 3.19
Te 0.7437 0.4875 0.2520  2 Tb 3.09, 2 Pr 3.19, 1 Pm 3.22
Te 0.2563 0.5125 0.7480  2 Tb 3.09, 2 Pr 3.19, 1 Pm 3.22
Te 0.7437 0.0083 0.2520  2 Tb 3.09, 2 Pr 3.19, 1 Pm 3.22
Te 0.2563 0.9917 0.7480  2 Tb 3.09, 2 Pr 3.19, 1 Pm 3.22
Te 0.2646 0.0083 0.2520  2 Tb 3.09, 2 Pr 3.19, 1 Pm 3.22
Te 0.7354 0.9917 0.7480  2 Tb 3.09, 2 Pr 3.19, 1 Pm 3.22

=====

This record from Alexandria describes a geometry-optimized TbPm2Pr3Te6 structure. The functional is PBE.

## Properties
Its total energy is -5.35 eV/atom. The formation energy (no corrections) is -16.91 eV/f.u.

a = 4.4533 Å, b = 9.0317 Å, c = 10.0244 Å
α = 103.04°, β = 102.83°, γ = 90.00°
Last column: nearest neighbours and their distance in Å.
Sites, in units of the cell vectors:
Tb 0.5000 0.0000 0.0000  6 Te 3.09-3.11
Pm 0.8319 0.6650 0.6638  6 Te 3.13-3.19
Pm 0.1681 0.3350 0.3362  6 Te 3.13-3.19
Pr 0.5000 0.5000 0.0000  6 Te 3.18-3.23
Pr 0.8305 0.1666 0.6610  6 Te 3.19-3.23
Pr 0.1695 0.8334 0.3390  6 Te 3.19-3.23
Te 0.3378 0.9158 0.6755  1 Tb 3.09, 2 Pm 3.16, 3 Pr 3.20
Te 0.6671 0.5801 0.3342  3 Pm 3.13-3.14, 3 Pr 3.18-3.19
Te 0.6622 0.0842 0.3245  1 Tb 3.09, 2 Pm 3.16, 3 Pr 3.20
Te 0.0004 0.2412 0.0008  2 Tb 3.11, 1 Pm 3.19, 3 Pr 3.23
Te 0.9996 0.7588 0.9992  2 Tb 3.11, 1 Pm 3.19, 3 Pr 3.23
Te 0.3329 0.4199 0.6658  3 Pm 3.13-3.14, 3 Pr 3.18-3.19

=====

This record from Alexandria describes a geometry-optimized Tb3Pm3PrTe8 structure. The functional is PBE.

## Properties
Its total energy is -5.30 eV/atom. The formation energy (no corrections) is -21.37 eV/f.u.

a = 8.8132 Å, b = 8.8131 Å, c = 8.8167 Å
α = 119.99°, β = 90.00°, γ = 120.00°
Last column: nearest neighbours and their distance in Å.
Sites, in units of the cell vectors:
Tb 0.5000 0.0000 0.5000  6 Te 3.09
Tb 0.5000 0.5000 0.5000  6 Te 3.09
Tb 0.0000 0.5000 0.5000  6 Te 3.09
Pm 0.0000 0.0000 0.0000  6 Te 3.15
Pm 0.0000 0.5000 0.0000  6 Te 3.15
Pm 0.5000 0.5000 0.0000  6 Te 3.15
Pr 0.0000 0.0000 0.5000  6 Te 3.24
Te 0.2525 0.5049 0.2574  3 Tb 3.09, 3 Pm 3.15
Te 0.7475 0.4951 0.7426  3 Tb 3.09, 3 Pm 3.15
Te 0.7399 0.4798 0.2449  2 Tb 3.09, 2 Pm 3.15, 1 Pr 3.24
Te 0.2601 0.5202 0.7551  2 Tb 3.09, 2 Pm 3.15, 1 Pr 3.24
Te 0.7399 0.0050 0.2449  2 Tb 3.09, 2 Pm 3.15, 1 Pr 3.24
Te 0.2601 0.9950 0.7551  2 Tb 3.09, 2 Pm 3.15, 1 Pr 3.24
Te 0.2651 0.0050 0.2449  2 Tb 3.09, 2 Pm 3.15, 1 Pr 3.24
Te 0.7349 0.9950 0.7551  2 Tb 3.09, 2 Pm 3.15, 1 Pr 3.24

=====

This record from Alexandria describes a geometry-optimized Tb2Pm3PrTe6 structure. The functional is PBE.

## Properties
Its total energy is -5.31 eV/atom. The formation energy (no corrections) is -16.57 eV/f.u.

a = 4.4193 Å, b = 8.9483 Å, c = 9.9304 Å
α = 102.70°, β = 102.86°, γ = 90.00°
Last column: nearest neighbours and their distance in Å.
Sites, in units of the cell vectors:
Tb 0.8349 0.6694 0.6699  6 Te 3.05-3.13
Tb 0.1651 0.3306 0.3301  6 Te 3.05-3.13
Pm 0.5000 0.5000 0.0000  6 Te 3.12-3.19
Pm 0.8382 0.1669 0.6765  6 Te 3.12-3.19
Pm 0.1618 0.8331 0.3235  6 Te 3.12-3.19
Pr 0.5000 0.0000 0.0000  6 Te 3.17-3.21
Te 0.3298 0.9095 0.6596  2 Tb 3.10, 3 Pm 3.17, 1 Pr 3.21
Te 0.6692 0.5793 0.3385  3 Tb 3.12-3.13, 3 Pm 3.19
Te 0.6702 0.0905 0.3404  2 Tb 3.10, 3 Pm 3.17, 1 Pr 3.21
Te 0.0035 0.2554 0.0070  1 Tb 3.05, 3 Pm 3.12, 2 Pr 3.17
Te 0.9965 0.7446 0.9930  1 Tb 3.05, 3 Pm 3.12, 2 Pr 3.17
Te 0.3308 0.4207 0.6615  3 Tb 3.12-3.13, 3 Pm 3.19

=====

> Which formula does entry 2 have?

TbPm6Pr4